VASP calculation (PBE) on crystalline SiHI2N at its relaxed geometry.

a b c (Å): 6.3521 6.3521 2.8758
angles (deg): 90.00 90.00 90.00
Space group P4/mmm (No. 123)
Asymmetric unit:
Si  0.0000  0.0000  0.0000
H  0.5000  0.5000  0.5000
I  0.0000  0.5000  0.5000
N  0.5000  0.5000  0.0000

Results
V in Å³ per atom: 23.21
Magnetic moment in μB/atom: 0.41
VASP energy in eV per atom: -2.812